## Al2IrRh (PBEsol)

Data for a relaxed Al2IrRh crystal.

Calculated values
The calculation puts the excess energy over the best structure of this formula in the dataset at 0.01 eV per formula unit. The energy of formation from the pure elements comes out at -1.02 eV/atom. The density is 10.950 g/cm³.

a b c (Å): 4.223 4.223 2.969
angles (deg): 90.00 90.00 90.00
Space group P4/mmm (No. 123)
Inequivalent atoms, fractional coordinates:
Al  0.000  0.500  0.000 [2 per cell]
Ir  0.000  0.000  0.500 [1 per cell]
Rh  0.500  0.500  0.500 [1 per cell]

## SrAlIr2Rh (PBEsol)

Data for a relaxed SrAlIr2Rh crystal.

Calculated values
The energy of formation from the pure elements comes out at 1.16 eV/atom. The density is 8.527 g/cm³.

a b c (Å): 4.723 4.723 5.256
angles (deg): 90.00 90.00 90.00
Space group P4/mmm (No. 123)
Inequivalent atoms, fractional coordinates:
Sr  0.000  0.000  0.000 [1 per cell]
Al  0.500  0.500  0.000 [1 per cell]
Ir  0.000  0.500  0.500 [2 per cell]
Rh  0.000  0.000  0.500 [1 per cell]

## AlIrRu2 (PBEsol)

Data for a relaxed AlIrRu2 crystal.

Calculated values
The energy of formation from the pure elements comes out at -0.24 eV/atom. The density is 12.888 g/cm³.

a b c (Å): 3.751 3.751 7.716
angles (deg): 90.00 90.00 90.00
Space group I4/mmm (No. 139)
Inequivalent atoms, fractional coordinates:
Al  0.000  0.000  0.000 [2 per cell]
Ir  0.000  0.000  0.500 [2 per cell]
Ru  0.000  0.500  0.250 [4 per cell]

## AlIrRu2 (PBEsol)

Data for a relaxed AlIrRu2 crystal.

Calculated values
The energy of formation from the pure elements comes out at -0.22 eV/atom. The density is 12.998 g/cm³.

a b c (Å): 2.771 2.771 7.008
angles (deg): 90.00 90.00 90.00
Space group P4/mmm (No. 123)
Inequivalent atoms, fractional coordinates:
Al  0.000  0.000  0.000 [1 per cell]
Ir  0.000  0.000  0.500 [1 per cell]
Ru  0.500  0.500  0.240 [2 per cell]

Question: Look up the energy of formation from the pure elements of the third one.
Answer: -0.24 eV/atom

Question: The lowest energy of formation from the pure elements belongs to which entry?
Answer: Al2IrRh